Run 1
# Li2In2N GGA-PBE optimized geometry
data_Li2In2N
_chemical_formula_sum 'Li4 In4 N2'
_cell_length_a 3.982
_cell_length_b 3.982
_cell_length_c 14.683
_cell_angle_alpha 90.00
_cell_angle_beta 90.00
_cell_angle_gamma 90.00
_symmetry_space_group_name_H-M 'I 4/m m m'
_symmetry_Int_Tables_number 139
_symmetry_space_group_name_Hall '-I 4 2'
loop_
_atom_site_label
_atom_site_type_symbol
_atom_site_fract_x
_atom_site_fract_y
_atom_site_fract_z
Li1 Li 0.000 0.000 0.085
In1 In 0.000 0.500 0.250
N1 N 0.000 0.000 0.500
# Total magnetic moment = 0.33 μB per atom

***

Run 2
# Li2In2N GGA-PBE optimized geometry
data_Li2In2N
_chemical_formula_sum 'Li4 In4 N2'
_cell_length_a 5.790
_cell_length_b 5.790
_cell_length_c 5.489
_cell_angle_alpha 90.00
_cell_angle_beta 90.00
_cell_angle_gamma 90.00
_symmetry_space_group_name_H-M 'P 4/m b m'
_symmetry_Int_Tables_number 127
_symmetry_space_group_name_Hall '-P 4 2ab'
loop_
_atom_site_label
_atom_site_type_symbol
_atom_site_fract_x
_atom_site_fract_y
_atom_site_fract_z
Li1 Li 0.211 0.289 0.000
In1 In 0.187 0.687 0.500
N1 N 0.000 0.000 0.000
# Total magnetic moment = 0.00 μB per atom

***

Which is the most stable structure? run 2 is the most stable.

***

Run 1
# Li2InRhN GGA-PBE optimized geometry
data_Li2InRhN
_chemical_formula_sum 'Li2 In1 Rh1 N1'
_cell_length_a 4.297
_cell_length_b 4.297
_cell_length_c 3.805
_cell_angle_alpha 90.00
_cell_angle_beta 90.00
_cell_angle_gamma 90.00
_symmetry_space_group_name_H-M 'P 4/m m m'
_symmetry_Int_Tables_number 123
_symmetry_space_group_name_Hall '-P 4 2'
loop_
_atom_site_label
_atom_site_type_symbol
_atom_site_fract_x
_atom_site_fract_y
_atom_site_fract_z
Li1 Li 0.000 0.500 0.000
In1 In 0.000 0.000 0.500
Rh1 Rh 0.500 0.500 0.500
N1 N 0.500 0.500 0.000
# Total magnetic moment = 0.00 μB per atom

***

Run 2
# Li2InRhN GGA-PBE optimized geometry
data_Li2InRhN
_chemical_formula_sum 'Li2 In1 Rh1 N1'
_cell_length_a 5.099
_cell_length_b 5.099
_cell_length_c 3.942
_cell_angle_alpha 90.00
_cell_angle_beta 90.00
_cell_angle_gamma 90.00
_symmetry_space_group_name_H-M 'P 4/m m m'
_symmetry_Int_Tables_number 123
_symmetry_space_group_name_Hall '-P 4 2'
loop_
_atom_site_label
_atom_site_type_symbol
_atom_site_fract_x
_atom_site_fract_y
_atom_site_fract_z
Li1 Li 0.000 0.500 0.000
In1 In 0.000 0.000 0.000
Rh1 Rh 0.500 0.500 0.500
N1 N 0.000 0.000 0.500
# Total magnetic moment = 0.27 μB per atom

***

Which is the most stable structure? run 1 is the most stable.

***

Run 1
# LiInSe2N GGA-PBE optimized geometry
data_LiInSe2N
_chemical_formula_sum 'Li1 In1 Se2 N1'
_cell_length_a 4.973
_cell_length_b 4.973
_cell_length_c 3.890
_cell_angle_alpha 90.00
_cell_angle_beta 90.00
_cell_angle_gamma 90.00
_symmetry_space_group_name_H-M 'P 4/m m m'
_symmetry_Int_Tables_number 123
_symmetry_space_group_name_Hall '-P 4 2'
loop_
_atom_site_label
_atom_site_type_symbol
_atom_site_fract_x
_atom_site_fract_y
_atom_site_fract_z
Li1 Li 0.000 0.000 0.000
In1 In 0.500 0.500 0.500
Se1 Se 0.000 0.500 0.000
N1 N 0.000 0.000 0.500
# Total magnetic moment = 0.54 μB per atom

***

Run 2
# LiInSe2N GGA-PBE optimized geometry
data_LiInSe2N
_chemical_formula_sum 'Li1 In1 Se2 N1'
_cell_length_a 5.452
_cell_length_b 5.452
_cell_length_c 4.223
_cell_angle_alpha 90.00
_cell_angle_beta 90.00
_cell_angle_gamma 90.00
_symmetry_space_group_name_H-M 'P 4/m m m'
_symmetry_Int_Tables_number 123
_symmetry_space_group_name_Hall '-P 4 2'
loop_
_atom_site_label
_atom_site_type_symbol
_atom_site_fract_x
_atom_site_fract_y
_atom_site_fract_z
Li1 Li 0.000 0.000 0.000
In1 In 0.500 0.500 0.500
Se1 Se 0.000 0.500 0.500
N1 N 0.500 0.500 0.000
# Total magnetic moment = 0.55 μB per atom

***

Run 3
# LiInSe2N GGA-PBE optimized geometry
data_LiInSe2N
_chemical_formula_sum 'Li1 In1 Se2 N1'
_cell_length_a 4.800
_cell_length_b 4.800
_cell_length_c 4.319
_cell_angle_alpha 90.00
_cell_angle_beta 90.00
_cell_angle_gamma 90.00
_symmetry_space_group_name_H-M 'P 4/m m m'
_symmetry_Int_Tables_number 123
_symmetry_space_group_name_Hall '-P 4 2'
loop_
_atom_site_label
_atom_site_type_symbol
_atom_site_fract_x
_atom_site_fract_y
_atom_site_fract_z
Li1 Li 0.000 0.000 0.000
In1 In 0.500 0.500 0.000
Se1 Se 0.000 0.500 0.500
N1 N 0.500 0.500 0.500
# Total magnetic moment = 0.00 μB per atom

***

Which is the most stable structure? run 3 is the most stable.

***

Run 1
# LiZrIn2N GGA-PBE optimized geometry
data_LiZrIn2N
_chemical_formula_sum 'Li1 Zr1 In2 N1'
_cell_length_a 5.099
_cell_length_b 5.099
_cell_length_c 3.539
_cell_angle_alpha 90.00
_cell_angle_beta 90.00
_cell_angle_gamma 90.00
_symmetry_space_group_name_H-M 'P 4/m m m'
_symmetry_Int_Tables_number 123
_symmetry_space_group_name_Hall '-P 4 2'
loop_
_atom_site_label
_atom_site_type_symbol
_atom_site_fract_x
_atom_site_fract_y
_atom_site_fract_z
Li1 Li 0.000 0.000 0.000
Zr1 Zr 0.500 0.500 0.500
In1 In 0.000 0.500 0.000
N1 N 0.000 0.000 0.500
# Total magnetic moment = 0.00 μB per atom

***

Run 2
# LiZrIn2N GGA-PBE optimized geometry
data_LiZrIn2N
_chemical_formula_sum 'Li1 Zr1 In2 N1'
_cell_length_a 4.432
_cell_length_b 4.432
_cell_length_c 4.988
_cell_angle_alpha 90.00
_cell_angle_beta 90.00
_cell_angle_gamma 90.00
_symmetry_space_group_name_H-M 'P 4/m m m'
_symmetry_Int_Tables_number 123
_symmetry_space_group_name_Hall '-P 4 2'
loop_
_atom_site_label
_atom_site_type_symbol
_atom_site_fract_x
_atom_site_fract_y
_atom_site_fract_z
Li1 Li 0.000 0.000 0.000
Zr1 Zr 0.000 0.000 0.500
In1 In 0.000 0.500 0.000
N1 N 0.500 0.500 0.500
# Total magnetic moment = 0.00 μB per atom

***

Which is the most stable structure? run 1 is the most stable.

***

Run 1
# NaLi2In2 GGA-PBE optimized geometry
data_NaLi2In2
_chemical_formula_sum 'Na3 Li6 In6'
_cell_length_a 4.8866
_cell_length_b 4.8866
_cell_length_c 15.4597
_cell_angle_alpha 90.00
_cell_angle_beta 90.00
_cell_angle_gamma 120.00
_symmetry_space_group_name_H-M 'R -3 m'
_symmetry_Int_Tables_number 166
_symmetry_space_group_name_Hall '-R 3 2"'
loop_
_atom_site_label
_atom_site_type_symbol
_atom_site_fract_x
_atom_site_fract_y
_atom_site_fract_z
Na1 Na 0.0000 0.0000 0.0000
Li1 Li 0.0000 0.0000 0.4085
In1 In 0.0000 0.0000 0.2092
# Total magnetic moment = 0.00 μB per atom

***

Run 2
# NaLi2In2 GGA-PBE optimized geometry
data_NaLi2In2
_chemical_formula_sum 'Na2 Li4 In4'
_cell_length_a 4.025
_cell_length_b 4.025
_cell_length_c 14.546
_cell_angle_alpha 90.00
_cell_angle_beta 90.00
_cell_angle_gamma 90.00
_symmetry_space_group_name_H-M 'I 4/m m m'
_symmetry_Int_Tables_number 139
_symmetry_space_group_name_Hall '-I 4 2'
loop_
_atom_site_label
_atom_site_type_symbol
_atom_site_fract_x
_atom_site_fract_y
_atom_site_fract_z
Na1 Na 0.000 0.000 0.000
Li1 Li 0.000 0.500 0.250
In1 In 0.000 0.000 0.397
# Total magnetic moment = 0.00 μB per atom

***

Run 3
# NaLi2In2 GGA-PBE optimized geometry
data_NaLi2In2
_chemical_formula_sum 'Na2 Li4 In4'
_cell_length_a 8.504
_cell_length_b 8.504
_cell_length_c 3.144
_cell_angle_alpha 90.00
_cell_angle_beta 90.00
_cell_angle_gamma 90.00
_symmetry_space_group_name_H-M 'P 4/m b m'
_symmetry_Int_Tables_number 127
_symmetry_space_group_name_Hall '-P 4 2ab'
loop_
_atom_site_label
_atom_site_type_symbol
_atom_site_fract_x
_atom_site_fract_y
_atom_site_fract_z
Na1 Na 0.000 0.000 0.000
Li1 Li 0.173 0.327 0.500
In1 In 0.126 0.626 0.000
# Total magnetic moment = 0.00 μB per atom

***

Which is the most stable structure? run 1 is the most stable.